Material: Dy5Rh2
Method: DFT, GGA-PBE
State: optimized geometry

Calculated values
The formation energy from the elements comes out at -0.60 eV/atom.

Geometry as CIF:
```
data_Dy5Rh2
_chemical_formula_sum 'Dy20 Rh8'
_cell_length_a 16.127
_cell_length_b 6.399
_cell_length_c 7.142
_cell_angle_alpha 90.00
_cell_angle_beta 97.25
_cell_angle_gamma 90.00
_space_group_name_H-M_alt 'C 1 2/c 1'
_space_group_IT_number 15
_space_group_name_Hall '-C 2yc'
loop_
_atom_site_label
_atom_site_type_symbol
_atom_site_fract_x
_atom_site_fract_y
_atom_site_fract_z
Dy1 Dy 0.000 0.075 0.250
Dy2 Dy 0.094 0.389 0.918
Dy3 Dy 0.218 0.071 0.312
Rh1 Rh 0.111 0.207 0.574
```